The following is a DFT calculation (GGA-PBEsol) of an optimized crystal structure of CdRe2P2.

Summary:
- Energy relative to the elements: 0.077 eV per atom
- Calculated volume: 15.3 Å³/atom

Cell lengths 3.592, 3.592, 6.465 Å; angles 106.13, 106.13, 90.00 degrees
Element x y z (fractional)
1 Re 0.379 0.379 0.758
2 Re 0.621 0.621 0.242
3 P 0.750 0.250 0.500
4 P 0.250 0.750 0.500
5 Cd 0.000 0.000 0.000

***

The following is a DFT calculation (GGA-PBEsol) of an optimized crystal structure of CdRe2P.

Summary:
- Energy relative to the elements: 0.319 eV per atom
- Calculated volume: 15.9 Å³/atom

Cell lengths 2.892, 4.301, 5.308 Å; angles 90.00, 105.81, 90.00 degrees
Element x y z (fractional)
1 P 0.290 0.500 0.581
2 Re 0.194 0.000 0.388
3 Re 0.602 0.500 0.204
4 Cd 0.933 0.000 0.865

***

The following is a DFT calculation (GGA-PBEsol) of an optimized crystal structure of SrCdRe2P.

Summary:
- Energy relative to the elements: 3.114 eV per atom
- Calculated volume: 24.3 Å³/atom

Cell lengths 4.897, 4.897, 5.073 Å; angles 90.00, 90.00, 90.00 degrees
Last column: magnetic moment on the atom in μB.
Element x y z (fractional)
1 Re 0.000 0.500 0.000  1.20
2 Re 0.500 0.000 0.000  1.20
3 Cd 0.500 0.500 0.500  -0.03
4 P 0.000 0.000 0.500  -0.04
5 Sr 0.000 0.000 0.000  -0.02

***

The following is a DFT calculation (GGA-PBEsol) of an optimized crystal structure of CdPRh.

Summary:
- Energy relative to the elements: 0.654 eV per atom
- Calculated volume: 18.4 Å³/atom

Cell lengths 4.272, 4.272, 4.272 Å; angles 60.00, 60.00, 60.00 degrees
Element x y z (fractional)
1 Cd 0.750 0.750 0.750
2 Rh 0.500 0.500 0.500
3 P 0.000 0.000 0.000

***

Please write out number 1 again, unchanged.
The following is a DFT calculation (GGA-PBEsol) of an optimized crystal structure of CdRe2P2.

Summary:
- Energy relative to the elements: 0.077 eV per atom
- Calculated volume: 15.3 Å³/atom

Cell lengths 3.592, 3.592, 6.465 Å; angles 106.13, 106.13, 90.00 degrees
Element x y z (fractional)
1 Re 0.379 0.379 0.758
2 Re 0.621 0.621 0.242
3 P 0.750 0.250 0.500
4 P 0.250 0.750 0.500
5 Cd 0.000 0.000 0.000

***

What did the third record say?
The following is a DFT calculation (GGA-PBEsol) of an optimized crystal structure of SrCdRe2P.

Summary:
- Energy relative to the elements: 3.114 eV per atom
- Calculated volume: 24.3 Å³/atom

Cell lengths 4.897, 4.897, 5.073 Å; angles 90.00, 90.00, 90.00 degrees
Last column: magnetic moment on the atom in μB.
Element x y z (fractional)
1 Re 0.000 0.500 0.000  1.20
2 Re 0.500 0.000 0.000  1.20
3 Cd 0.500 0.500 0.500  -0.03
4 P 0.000 0.000 0.500  -0.04
5 Sr 0.000 0.000 0.000  -0.02

***

Copy entry 3 word for word.
The following is a DFT calculation (GGA-PBEsol) of an optimized crystal structure of SrCdRe2P.

Summary:
- Energy relative to the elements: 3.114 eV per atom
- Calculated volume: 24.3 Å³/atom

Cell lengths 4.897, 4.897, 5.073 Å; angles 90.00, 90.00, 90.00 degrees
Last column: magnetic moment on the atom in μB.
Element x y z (fractional)
1 Re 0.000 0.500 0.000  1.20
2 Re 0.500 0.000 0.000  1.20
3 Cd 0.500 0.500 0.500  -0.03
4 P 0.000 0.000 0.500  -0.04
5 Sr 0.000 0.000 0.000  -0.02

***

> Which of these has the lowest calculated volume?

CdRe2P2